First-principles (meta-GGA SCAN) data for CaTeW3 at its PBEsol-relaxed geometry, as listed in the Alexandria database.

For the magnetization, the calculation gives 0.00 μB/f.u. The calculation puts the uncorrected formation energy at 2.150 eV per atom.

The space group is Pm-3m (No. 221) and the conventional cell measures 4.911, 4.911 and 4.911 Å, with angles of 90.00, 90.00 and 90.00 degrees. The asymmetric unit holds Ca at (0.000, 0.000, 0.000), Te at (0.500, 0.500, 0.500) and W at (0.000, 0.500, 0.500).